1.
A relaxed structure of PuCu2I8. Source: Alexandria, functional PBE-GGA.

- V (A^3/atom) = 46.058

Cell: 11.9581 12.6434 6.9299 Å, 90.00 104.74 90.00°
Space group C2/m (No. 12)
Asymmetric unit:
Pu  0.0000  0.0000  0.0000 (multiplicity 2)
Cu  0.1879  0.0000  0.6907 (multiplicity 4)
I  0.0787  0.5000  0.1923 (multiplicity 4)
I  0.1042  0.1702  0.7980 (multiplicity 8)
I  0.2261  0.0000  0.3391 (multiplicity 4)

***

2.
A relaxed structure of RbPuCuI6. Source: Alexandria, functional PBE-GGA.

- V (A^3/atom) = 46.804

Cell: 7.6686 7.6686 16.5424 Å, 90.00 90.00 120.00°
Space group P-31c (No. 163)
Asymmetric unit:
Rb  0.0000  0.0000  0.0000 (multiplicity 2)
Pu  0.3333  0.6667  0.2500 (multiplicity 2)
Cu  0.3333  0.6667  0.7500 (multiplicity 2)
I  0.0170  0.3751  0.6486 (multiplicity 12)

***

3.
A relaxed structure of RbPuCuI5. Source: Alexandria, functional PBE-GGA.

- V (A^3/atom) = 45.247

Cell: 10.2328 13.4893 11.4987 Å, 90.00 114.18 90.00°
Space group C2/c (No. 15)
Asymmetric unit:
Rb  0.0000  0.1419  0.2500 (multiplicity 4)
Pu  0.0000  0.5000  0.0000 (multiplicity 4)
Cu  0.0000  0.1906  0.7500 (multiplicity 4)
I  0.0000  0.4145  0.2500 (multiplicity 4)
I  0.1143  0.2934  0.6213 (multiplicity 8)
I  0.1897  0.0774  0.9299 (multiplicity 8)

***

| no. | E_tot (hartree per atom) |
| --- | --- |
| 1 | -0.1337 |
| 2 | -0.1466 |
| 3 | -0.1587 |